No. 1
Compound: Ce2NdFe
Source: the Alexandria database
Functional: PBE
Structure: optimized geometry

Properties
**Size of the total moment**: 0.01 Bohr magnetons per cell
**Space group**: R3m (160)
**ΔE to the lowest computed polymorph**: 0 meV/atom
**Formation energy**: 0.09 eV/atom

Lattice parameters (Å, degrees): 9.0187 9.0187 9.0187 24.18 24.18 24.18
Sites, in units of the cell vectors:
Ce  0.0000  0.0000  0.0000
Ce  0.2205  0.2205  0.2205
Nd  0.7762  0.7762  0.7762
Fe  0.6133  0.6133  0.6133



No. 2
Compound: Cu2PdPt6
Source: the Alexandria database
Functional: PBE
Structure: optimized geometry

Properties
**Size of the total moment**: 0.00 Bohr magnetons per cell
**Space group**: C2/m (12)
**ΔE to the lowest computed polymorph**: 0 meV/atom
**Formation energy**: 0.03 eV/atom

Lattice parameters (Å, degrees): 6.9223 6.9223 9.2045 124.25 124.25 22.58
Sites, in units of the cell vectors:
Cu  0.1217  0.1217  0.0554
Cu  0.8783  0.8783  0.9446
Pd  0.0000  0.0000  0.5000
Pt  0.0557  0.0557  0.2661
Pt  0.2403  0.2403  0.6365
Pt  0.3465  0.3465  0.1705
Pt  0.6535  0.6535  0.8295
Pt  0.7597  0.7597  0.3635
Pt  0.9443  0.9443  0.7339